## CeSmAg2 (PBE-GGA)

Data for an optimized crystal structure of CeSmAg2.

## Properties
DFT formation energy in eV per atom: -0.1604
E in eV per formula unit: -17.00
Mass density in g/cm3: 8.17

a = 3.654 Å, b = 3.654 Å, c = 7.711 Å
α = 90.00°, β = 90.00°, γ = 90.00°
Each line ends with the local moment (μB).
Positions (direct):
Sm1 0.500 0.500 0.000  -0.02
Ce1 0.500 0.500 0.500  0.97
Ag1 0.000 0.000 0.240  0.00
Ag2 0.000 0.000 0.760  0.00